# 1
Compound: La2HoTl
Source: Alexandria via LeMat-Bulk
Functional: PBE-GGA
Structure: relaxed

## Properties
- Space group: P2_1/m (11)
- ΔH_f (0 K): -0.10 eV/atom
- Total energy: -34.42 eV/cell

POSCAR file:
```
La2HoTl
1.0
4.7570 0.0000 0.0000
0.0000 4.5636 0.0000
-2.3954 0.0000 11.7596
La Ho Tl
4 2 2
direct
0.0561 0.2500 0.1126 La
0.4250 0.2500 0.8509 La
0.5750 0.7500 0.1491 La
0.9439 0.7500 0.8874 La
0.3004 0.7500 0.6021 Ho
0.6996 0.2500 0.3979 Ho
0.1716 0.7500 0.3408 Tl
0.8284 0.2500 0.6592 Tl
```

# 2
Compound: KTbN
Source: Alexandria via LeMat-Bulk
Functional: PBE-GGA
Structure: relaxed

## Properties
- Formation energy from raw total energies: -0.771 eV/atom
- Space group: Pnma (62)
- Total energy: -65.46 eV/cell

POSCAR file:
```
KTbN
1.0
19.6747 0.0000 0.0000
0.0000 3.9068 0.0000
0.0000 0.0000 4.7995
K Tb N
4 4 4
direct
0.0861 0.2500 0.2488 K
0.4139 0.7500 0.7488 K
0.5861 0.2500 0.2512 K
0.9139 0.7500 0.7512 K
0.2153 0.7500 0.7485 Tb
0.2847 0.2500 0.2485 Tb
0.7153 0.7500 0.7515 Tb
0.7847 0.2500 0.2515 Tb
0.2254 0.7500 0.2484 N
0.2746 0.2500 0.7484 N
0.7254 0.7500 0.2516 N
0.7746 0.2500 0.7516 N
```

The lowest total energy belongs to which entry?
KTbN

Which of these has the lowest total energy?
KTbN